Th2SnO | PBE-GGA | optimized geometry

a = 9.733 Å, b = 9.733 Å, c = 9.733 Å
α = 20.96°, β = 20.96°, γ = 20.96°
Positions (direct):
Th (0.113, 0.113, 0.113)
Th (0.887, 0.887, 0.887)
Sn (0.000, 0.000, 0.000)
O (0.500, 0.500, 0.500)

## Properties
ΔE_f (raw), eV per atom: -1.053
Fermi-level density of states, states/eV per atom: 0.742
Magnetic moment, μB/f.u.: 0.00
Calculated volume, Å³/cell: 103
Calculated total energy, eV per atom: -7.003